(1)
Entry from Alexandria via LeMat-Bulk: a relaxed Pm7Cd2Hg2 crystal (PBE).

Cell lengths 6.8414, 6.8414, 8.1722 Å; angles 90.00, 90.00, 110.20 degrees
Closest atoms and distances in Å follow each position.
Atoms (fractional coordinates):
Pm  0.0000  0.0000  0.0000  2 Hg 3.25
Pm  0.0000  0.5000  0.2878  2 Hg 3.09, 2 Cd 3.35, 2 Pm 3.43
Pm  0.0000  0.5000  0.7122  2 Hg 3.09, 2 Cd 3.35, 2 Pm 3.43
Pm  0.5000  0.0000  0.2878  2 Hg 3.09, 2 Cd 3.35, 2 Pm 3.43
Pm  0.5000  0.0000  0.7122  2 Hg 3.09, 2 Cd 3.35, 2 Pm 3.43
Pm  0.5000  0.5000  0.2630  2 Hg 3.19, 2 Cd 3.20, 4 Pm 3.43
Pm  0.5000  0.5000  0.7370  2 Hg 3.19, 2 Cd 3.20, 4 Pm 3.43
Cd  0.1749  0.1749  0.5000  1 Cd 2.74
Cd  0.8251  0.8251  0.5000  1 Cd 2.74
Hg  0.2899  0.7101  0.0000  7 Pm 3.09-3.25
Hg  0.7101  0.2899  0.0000  7 Pm 3.09-3.25

Calculated values
**VASP energy**: -3.2909 eV per atom
**ΔH_f (0 K)**: -46.6 meV/atom



(2)
Entry from Alexandria via LeMat-Bulk: a relaxed Pm5CdHg3 crystal (PBE).

Cell lengths 9.3742, 9.3742, 6.8065 Å; angles 90.00, 90.00, 120.00 degrees
Closest atoms and distances in Å follow each position.
Atoms (fractional coordinates):
Pm  0.0000  0.2987  0.2500  5 Hg 3.14-3.46, 2 Cd 3.28
Pm  0.0000  0.7013  0.7500  5 Hg 3.14-3.46, 2 Cd 3.28
Pm  0.2987  0.0000  0.2500  5 Hg 3.14-3.46, 2 Cd 3.28
Pm  0.2987  0.2987  0.7500  5 Hg 3.14-3.46, 2 Cd 3.28
Pm  0.3333  0.6667  0.0000  8 Pm 3.40-3.71, 6 Hg 3.43
Pm  0.3333  0.6667  0.5000  8 Pm 3.40-3.71, 6 Hg 3.43
Pm  0.6667  0.3333  0.0000  8 Pm 3.40-3.71, 6 Hg 3.43
Pm  0.6667  0.3333  0.5000  8 Pm 3.40-3.71, 6 Hg 3.43
Pm  0.7013  0.0000  0.7500  5 Hg 3.14-3.46, 2 Cd 3.28
Pm  0.7013  0.7013  0.2500  5 Hg 3.14-3.46, 2 Cd 3.28
Cd  0.0000  0.0000  0.0000  6 Pm 3.28, 2 Cd 3.40
Cd  0.0000  0.0000  0.5000  6 Pm 3.28, 2 Cd 3.40
Hg  0.0000  0.3661  0.7500  9 Pm 3.14-3.46
Hg  0.0000  0.6339  0.2500  9 Pm 3.14-3.46
Hg  0.3661  0.0000  0.7500  9 Pm 3.14-3.46
Hg  0.3661  0.3661  0.2500  9 Pm 3.14-3.46
Hg  0.6339  0.0000  0.2500  9 Pm 3.14-3.46
Hg  0.6339  0.6339  0.7500  9 Pm 3.14-3.46

Calculated values
**VASP energy**: -3.1825 eV per atom
**ΔH_f (0 K)**: -341.0 meV/atom



(3)
Entry from Alexandria via LeMat-Bulk: a relaxed Pm3Cd2Hg3 crystal (PBE).

Cell lengths 8.0048, 8.0048, 3.9502 Å; angles 90.00, 90.00, 120.00 degrees
Closest atoms and distances in Å follow each position.
Atoms (fractional coordinates):
Pm  0.0000  0.3693  0.0000  4 Cd 3.21, 4 Hg 3.27
Pm  0.3693  0.0000  0.0000  4 Cd 3.21, 4 Hg 3.27
Pm  0.6307  0.6307  0.0000  4 Cd 3.21, 4 Hg 3.27
Cd  0.3333  0.6667  0.5000  3 Hg 3.06, 6 Pm 3.21
Cd  0.6667  0.3333  0.5000  3 Hg 3.06, 6 Pm 3.21
Hg  0.0000  0.7506  0.5000  2 Cd 3.06, 4 Pm 3.27
Hg  0.2494  0.2494  0.5000  2 Cd 3.06, 4 Pm 3.27
Hg  0.7506  0.0000  0.5000  2 Cd 3.06, 4 Pm 3.27

Calculated values
**VASP energy**: -2.4443 eV per atom
**Offset from the most stable computed form**: 48 meV per atom
**ΔH_f (0 K)**: -320.8 meV/atom



(4)
Entry from Alexandria via LeMat-Bulk: a relaxed PmCdHg crystal (PBE).

Cell lengths 5.0390, 5.0390, 3.4678 Å; angles 90.00, 90.00, 120.00 degrees
Closest atoms and distances in Å follow each position.
Atoms (fractional coordinates):
Pm  0.0000  0.0000  0.0000  6 Cd 3.39, 6 Hg 3.39, 2 Pm 3.47
Cd  0.3333  0.6667  0.5000  3 Hg 2.91
Hg  0.6667  0.3333  0.5000  3 Cd 2.91

Calculated values
**VASP energy**: -2.3858 eV per atom
**Offset from the most stable computed form**: 0 meV per atom
**ΔH_f (0 K)**: -396.6 meV/atom



(5)
Entry from Alexandria via LeMat-Bulk: a relaxed Pm2CdHg crystal (PBE).

Cell lengths 3.8232, 3.8232, 7.6338 Å; angles 90.00, 90.00, 90.00 degrees
Closest atoms and distances in Å follow each position.
Atoms (fractional coordinates):
Pm  0.0000  0.0000  0.2480  4 Hg 3.30, 4 Cd 3.32
Pm  0.0000  0.0000  0.7520  4 Hg 3.30, 4 Cd 3.32
Cd  0.5000  0.5000  0.5000  8 Pm 3.32
Hg  0.5000  0.5000  0.0000  8 Pm 3.30

Calculated values
**VASP energy**: -3.0746 eV per atom
**ΔH_f (0 K)**: -395.1 meV/atom



(6)
Entry from Alexandria via LeMat-Bulk: a relaxed Pm3CdHg4 crystal (PBE).

Cell lengths 9.4705, 9.4705, 9.4705 Å; angles 32.00, 32.00, 32.00 degrees
Closest atoms and distances in Å follow each position.
Atoms (fractional coordinates):
Pm  0.0000  0.0000  0.0000  8 Hg 3.18-3.30
Pm  0.2404  0.2404  0.2404  7 Hg 3.12-3.37
Pm  0.7596  0.7596  0.7596  7 Hg 3.12-3.37
Cd  0.5000  0.5000  0.5000  8 Hg 3.24-3.49, 6 Pm 3.61
Hg  0.1226  0.1226  0.1226  5 Pm 3.12-3.30, 3 Cd 3.24
Hg  0.3704  0.3704  0.3704  7 Pm 3.18-3.50, 1 Cd 3.49
Hg  0.6296  0.6296  0.6296  7 Pm 3.18-3.50, 1 Cd 3.49
Hg  0.8774  0.8774  0.8774  5 Pm 3.12-3.30, 3 Cd 3.24

Calculated values
**VASP energy**: -2.4835 eV per atom
**Offset from the most stable computed form**: 0 meV per atom
**ΔH_f (0 K)**: -436.7 meV/atom



(7)
Entry from Alexandria via LeMat-Bulk: a relaxed Pm4Cd5Hg crystal (PBE).

Cell lengths 8.4865, 8.4865, 6.6981 Å; angles 106.14, 106.14, 35.59 degrees
Closest atoms and distances in Å follow each position.
Atoms (fractional coordinates):
Pm  0.0964  0.0964  0.3847  5 Cd 3.15-3.27, 2 Hg 3.23
Pm  0.3118  0.3118  0.1822  7 Cd 3.14-3.45, 1 Hg 3.16
Pm  0.6882  0.6882  0.8178  7 Cd 3.14-3.45, 1 Hg 3.16
Pm  0.9036  0.9036  0.6153  5 Cd 3.15-3.27, 2 Hg 3.23
Cd  0.0971  0.0971  0.9149  5 Pm 3.14-3.41, 2 Cd 3.17
Cd  0.2961  0.2961  0.6853  7 Pm 3.23-3.45, 3 Cd 3.35-3.60
Cd  0.5000  0.5000  0.0000  6 Cd 3.17-3.35, 2 Hg 3.35
Cd  0.7039  0.7039  0.3147  7 Pm 3.23-3.45, 3 Cd 3.35-3.60
Cd  0.9029  0.9029  0.0851  5 Pm 3.14-3.41, 2 Cd 3.17
Hg  0.5000  0.5000  0.5000  6 Pm 3.16-3.23, 2 Cd 3.35

Calculated values
**VASP energy**: -2.7189 eV per atom
**Offset from the most stable computed form**: 0 meV per atom
**ΔH_f (0 K)**: -330.9 meV/atom



(8)
Entry from Alexandria via LeMat-Bulk: a relaxed Pm8CdHg2 crystal (PBE).

Cell lengths 9.6290, 9.6290, 7.3687 Å; angles 106.45, 106.45, 31.87 degrees
Closest atoms and distances in Å follow each position.
Atoms (fractional coordinates):
Pm  0.0252  0.0252  0.2611  1 Hg 3.11, 2 Cd 3.28, 2 Pm 3.49
Pm  0.1929  0.1929  0.8023  1 Hg 3.04
Pm  0.3326  0.3326  0.5368  3 Hg 3.05-3.31, 1 Cd 3.19
Pm  0.4105  0.4105  0.0380  1 Cd 3.32, 2 Hg 3.41, 6 Pm 3.49-3.66
Pm  0.5895  0.5895  0.9620  1 Cd 3.32, 2 Hg 3.41, 6 Pm 3.49-3.66
Pm  0.6674  0.6674  0.4632  3 Hg 3.05-3.31, 1 Cd 3.19
Pm  0.8071  0.8071  0.1977  1 Hg 3.04
Pm  0.9748  0.9748  0.7389  1 Hg 3.11, 2 Cd 3.28, 2 Pm 3.49
Cd  0.5000  0.5000  0.5000  8 Pm 3.19-3.32
Hg  0.1864  0.1864  0.2104  7 Pm 3.04-3.41
Hg  0.8136  0.8136  0.7896  7 Pm 3.04-3.41

Calculated values
**VASP energy**: -3.7819 eV per atom
**Offset from the most stable computed form**: 28 meV per atom
**ΔH_f (0 K)**: -188.8 meV/atom



(9)
Entry from Alexandria via LeMat-Bulk: a relaxed PmCd5Hg8 crystal (PBE).

Cell lengths 7.7179, 7.7179, 7.7179 Å; angles 109.53, 109.53, 109.35 degrees
Closest atoms and distances in Å follow each position.
Atoms (fractional coordinates):
Pm  0.0000  0.0000  0.0000  8 Hg 3.19-3.26
Cd  0.0846  0.2153  0.5830  7 Hg 2.97-3.11
Cd  0.2500  0.7500  0.5000  8 Hg 3.03-3.09
Cd  0.4984  0.9154  0.1307  7 Hg 2.97-3.11
Cd  0.6322  0.5016  0.4170  7 Hg 2.97-3.11
Cd  0.7847  0.3678  0.8693  7 Hg 2.97-3.11
Hg  0.0591  0.6199  0.7513  5 Cd 2.97-3.06, 1 Pm 3.19, 2 Hg 3.26-3.29
Hg  0.2542  0.4859  0.1018  5 Cd 3.04-3.35, 2 Hg 3.19-3.29, 1 Pm 3.26
Hg  0.3801  0.1314  0.4392  5 Cd 2.97-3.06, 1 Pm 3.19, 2 Hg 3.26-3.29
Hg  0.3842  0.1525  0.8982  5 Cd 3.04-3.35, 2 Hg 3.19-3.29, 1 Pm 3.26
Hg  0.5141  0.6158  0.7683  5 Cd 3.04-3.35, 2 Hg 3.19-3.29, 1 Pm 3.26
Hg  0.6921  0.9409  0.5608  5 Cd 2.97-3.06, 1 Pm 3.19, 2 Hg 3.26-3.29
Hg  0.8475  0.7458  0.2317  5 Cd 3.04-3.35, 2 Hg 3.19-3.29, 1 Pm 3.26
Hg  0.8686  0.3079  0.2487  5 Cd 2.97-3.06, 1 Pm 3.19, 2 Hg 3.26-3.29

Calculated values
**VASP energy**: -0.9024 eV per atom
**ΔH_f (0 K)**: -63.8 meV/atom



(10)
Entry from Alexandria via LeMat-Bulk: a relaxed Pm8Cd2Hg crystal (PBE).

Cell lengths 9.6124, 9.6124, 7.3083 Å; angles 106.16, 106.16, 32.25 degrees
Closest atoms and distances in Å follow each position.
Atoms (fractional coordinates):
Pm  0.0217  0.0217  0.2614  1 Cd 3.17, 2 Hg 3.28, 2 Pm 3.48
Pm  0.1956  0.1956  0.7934  3 Cd 3.10-3.45
Pm  0.3357  0.3357  0.5430  3 Cd 3.11-3.31, 1 Hg 3.14
Pm  0.4087  0.4087  0.0420  1 Hg 3.28, 2 Cd 3.42, 4 Pm 3.48-3.60
Pm  0.5913  0.5913  0.9580  1 Hg 3.28, 2 Cd 3.42, 4 Pm 3.48-3.60
Pm  0.6643  0.6643  0.4570  3 Cd 3.11-3.31, 1 Hg 3.14
Pm  0.8044  0.8044  0.2066  3 Cd 3.10-3.45
Pm  0.9783  0.9783  0.7386  1 Cd 3.17, 2 Hg 3.28, 2 Pm 3.48
Cd  0.1861  0.1861  0.2096  9 Pm 3.10-3.45
Cd  0.8139  0.8139  0.7904  9 Pm 3.10-3.45
Hg  0.5000  0.5000  0.5000  8 Pm 3.14-3.28

Calculated values
**VASP energy**: -3.7951 eV per atom
**Offset from the most stable computed form**: 39 meV per atom
**ΔH_f (0 K)**: -146.3 meV/atom